VASP calculation (GGA-PBE) on an optimized crystal structure of FeCuSn2.

## Properties
Energy relative to the elements, kcal/mol of atoms: 11.45
Electronic total energy, eV per atom: -4.645
ΔE to the lowest computed polymorph, meV per atom: 170
Mass density, g cm⁻³: 7.3
V, Å³/atom: 20.238

Geometry as CIF:
```
data_FeCuSn2
_symmetry_space_group_name_H-M 'I -4 2 d'
_symmetry_Int_Tables_number 122
_symmetry_space_group_name_Hall 'I -4 2bw'
_cell_length_a 7.2300
_cell_length_b 7.2300
_cell_length_c 6.1946
_cell_angle_alpha 90.00
_cell_angle_beta 90.00
_cell_angle_gamma 90.00
loop_
_atom_site_label
_atom_site_type_symbol
_atom_site_fract_x
_atom_site_fract_y
_atom_site_fract_z
Fe1 Fe 0.0000 0.0000 0.0000
Cu1 Cu 0.0000 0.0000 0.5000
Sn1 Sn 0.2431 0.2500 0.6250
```